A plane-wave DFT calculation with PBEsol was carried out for crystalline KSc2Pt at its relaxed geometry.

Unit cell a=6.2383 b=9.8671 c=3.0229 alpha=90.00 beta=113.90 gamma=90.00
With the nearest neighbours (Å) after each atom.
Space group C2/m (No. 12)
Inequivalent atoms, fractional coordinates:
K1 0.0000 0.0000 0.0000  4 Sc 2.98, 2 K 3.02, 2 Pt 3.12
Sc1 0.2500 0.2500 0.5000  2 K 2.98, 2 Pt 2.98, 4 Sc 3.02-3.12
Pt1 0.0000 0.5000 0.0000  4 Sc 2.98, 2 Pt 3.02, 2 K 3.12

Summary:
- Relative energy among the computed polymorphs: 529 meV/atom
- Total magnetic moment: 0.0 μB per formula unit
- N(E_F): 1.07 states/eV per atom
- ΔH_f (0 K): 0.260 eV per atom
- V: 170.1 Å³/cell



A plane-wave DFT calculation with PBEsol was carried out for crystalline Cr3Os at its relaxed geometry.

Unit cell a=2.8700 b=4.1168 c=8.0864 alpha=90.00 beta=90.00 gamma=90.00
With the nearest neighbours (Å) after each atom.
Space group Immm (No. 71)
Inequivalent atoms, fractional coordinates:
Cr1 0.0000 0.0000 0.0000  4 Cr 2.39, 4 Os 2.51
Cr2 0.0000 0.5000 0.2634  6 Cr 2.39-2.52, 2 Os 2.57
Os1 0.0000 0.0000 0.5000  8 Cr 2.51-2.57

Summary:
- Total magnetic moment: 0.0 μB per formula unit
- N(E_F): 1.04 states/eV per atom
- ΔH_f (0 K): 0.075 eV per atom
- V: 95.5 Å³/cell



A plane-wave DFT calculation with PBEsol was carried out for crystalline Te3PdRh at its relaxed geometry.

Unit cell a=5.0883 b=5.0883 c=5.0883 alpha=90.00 beta=90.00 gamma=90.00
With the nearest neighbours (Å) after each atom.
Space group Pm-3m (No. 221)
Inequivalent atoms, fractional coordinates:
Te1 0.0000 0.0000 0.5000  2 Rh 2.54
Pd1 0.5000 0.5000 0.5000  12 Te 3.60
Rh1 0.0000 0.0000 0.0000  6 Te 2.54

Summary:
- Energy relative to the elements, uncorrected: 0.6232 eV/atom
- Total magnetic moment: 0.0 μB per formula unit
- N(E_F): 1.15 states/eV per atom
- V: 131.7 Å³/cell



A plane-wave DFT calculation with PBEsol was carried out for crystalline CaHgAs at its relaxed geometry.

Unit cell a=6.8175 b=6.8175 c=6.8175 alpha=90.00 beta=90.00 gamma=90.00
With the nearest neighbours (Å) after each atom.
Space group F-43m (No. 216)
Inequivalent atoms, fractional coordinates:
Ca1 0.0000 0.0000 0.0000  4 As 2.95
Hg1 0.0000 0.0000 0.5000  4 As 2.95
As1 0.2500 0.2500 0.2500  4 Hg 2.95, 4 Ca 2.95

Summary:
- Total magnetic moment: 0.0 μB per formula unit
- N(E_F): 0.62 states/eV per atom
- ΔH_f (0 K): -0.530 eV per atom
- V: 316.9 Å³/cell



A plane-wave DFT calculation with PBEsol was carried out for crystalline BeCr2Tc at its relaxed geometry.

Unit cell a=2.8781 b=4.0092 c=7.8445 alpha=90.00 beta=90.00 gamma=90.00
With the nearest neighbours (Å) after each atom.
Space group Imm2 (No. 44)
Inequivalent atoms, fractional coordinates:
Be1 0.0000 0.0000 0.0000  6 Cr 2.47, 4 Tc 2.51-2.74
Cr1 0.0000 0.0000 0.4886  2 Cr 2.32, 2 Tc 2.43, 4 Be 2.47
Cr2 0.0000 0.5000 0.7559  2 Cr 2.32, 2 Be 2.47, 4 Tc 2.47
Tc1 0.0000 0.5000 0.2374  6 Cr 2.43-2.47, 2 Be 2.51

Summary:
- Total magnetic moment: 0.0 μB per formula unit
- N(E_F): 0.86 states/eV per atom
- ΔH_f (0 K): 0.046 eV per atom
- V: 90.5 Å³/cell



A plane-wave DFT calculation with PBEsol was carried out for crystalline Ca3Al4ZnO10 at its relaxed geometry.

Unit cell a=16.7682 b=5.1204 c=10.6636 alpha=90.00 beta=90.00 gamma=90.00
With the nearest neighbours (Å) after each atom.
Space group Pca2_1 (No. 29)
Inequivalent atoms, fractional coordinates:
Ca1 0.1061 0.2138 0.0000  6 O 2.36-2.43
Ca2 0.1103 0.2126 0.3514  6 O 2.29-2.51
Ca3 0.2089 0.2312 0.6603  5 O 2.33-2.61
Al1 0.0303 0.1390 0.6745  4 O 1.75-1.79
Al2 0.0751 0.6383 0.8210  4 O 1.75-1.77
Al3 0.1645 0.7671 0.1711  4 O 1.73-1.78
Al4 0.2479 0.7071 0.9201  4 O 1.76-1.78
Zn1 0.0800 0.6529 0.5216  4 O 1.90-1.97
O1 0.0041 0.5106 0.9241  1 Al 1.75, 1 Zn 1.94
O2 0.0557 0.4730 0.6799  2 Al 1.76, 1 Zn 1.97
O3 0.0714 0.9343 0.1715  2 Al 1.75-1.78
O4 0.0724 0.9810 0.8091  2 Al 1.76-1.79
O5 0.0871 0.0201 0.5470  1 Al 1.77, 1 Zn 1.90
O6 0.1661 0.4284 0.1711  1 Al 1.73
O7 0.1696 0.5096 0.8610  2 Al 1.77
O8 0.1812 0.4869 0.4798  1 Al 1.76, 1 Zn 1.95
O9 0.2117 0.9176 0.0398  2 Al 1.78
O10 0.2144 0.9137 0.3003  2 Al 1.78

Summary:
- Energy relative to the elements, uncorrected: -2.8826 eV/atom
- Total magnetic moment: 0.0 μB per formula unit
- N(E_F): 0.00 states/eV per atom
- V: 915.6 Å³/cell



A plane-wave DFT calculation with PBEsol was carried out for crystalline AlCrAg2 at its relaxed geometry.

Unit cell a=3.2350 b=3.2350 c=6.0708 alpha=90.00 beta=90.00 gamma=90.00
With the nearest neighbours (Å) after each atom.
Space group P4/mmm (No. 123)
Inequivalent atoms, fractional coordinates:
Al1 0.0000 0.0000 0.0000  8 Ag 2.72, 2 Cr 3.04
Cr1 0.0000 0.0000 0.5000  8 Ag 2.77, 2 Al 3.04
Ag1 0.5000 0.5000 0.2434  4 Al 2.72, 4 Cr 2.77, 1 Ag 2.96

Summary:
- Total magnetic moment: 3.9 μB per formula unit
- N(E_F): 0.60 states/eV per atom
- ΔH_f (0 K): 0.275 eV per atom
- V: 63.5 Å³/cell



A plane-wave DFT calculation with PBEsol was carried out for crystalline LaFePb at its relaxed geometry.

Unit cell a=3.3967 b=3.3967 c=11.8004 alpha=90.00 beta=90.00 gamma=90.00
With the nearest neighbours (Å) after each atom.
Space group I4mm (No. 107)
Inequivalent atoms, fractional coordinates:
La1 0.0000 0.0000 0.0000  4 Fe 3.06, 1 Pb 3.30, 4 La 3.40
Fe1 0.0000 0.0000 0.3400  4 Pb 2.78, 4 La 3.06
Pb1 0.0000 0.0000 0.7207  4 Fe 2.78

Summary:
- Total magnetic moment: 1.6 μB per formula unit
- N(E_F): 1.56 states/eV per atom
- ΔH_f (0 K): 0.127 eV per atom
- V: 136.1 Å³/cell